An optimized crystal structure of Ce5Bi3Au. Source: Alexandria via LeMat-Bulk, functional PBE.

Structure (CIF):
```
data_Ce5Bi3Au
_cell_length_a 9.672
_cell_length_b 9.672
_cell_length_c 6.551
_cell_angle_alpha 90.00
_cell_angle_beta 90.00
_cell_angle_gamma 120.00
_symmetry_space_group_name_H-M 'P 1'
_symmetry_Int_Tables_number 1
loop_
_symmetry_equiv_pos_as_xyz
'x,y,z'
loop_
_atom_site_label
_atom_site_type_symbol
_atom_site_fract_x
_atom_site_fract_y
_atom_site_fract_z
_atom_site_occupancy
Ce1 Ce 0.000 0.268 0.250 1
Ce2 Ce 0.000 0.732 0.750 1
Ce3 Ce 0.268 0.000 0.250 1
Ce4 Ce 0.268 0.268 0.750 1
Ce5 Ce 0.333 0.667 0.000 1
Ce6 Ce 0.333 0.667 0.500 1
Ce7 Ce 0.667 0.333 0.000 1
Ce8 Ce 0.667 0.333 0.500 1
Ce9 Ce 0.732 0.000 0.750 1
Ce10 Ce 0.732 0.732 0.250 1
Bi1 Bi 0.000 0.382 0.750 1
Bi2 Bi 0.000 0.618 0.250 1
Bi3 Bi 0.382 0.000 0.750 1
Bi4 Bi 0.382 0.382 0.250 1
Bi5 Bi 0.618 0.000 0.250 1
Bi6 Bi 0.618 0.618 0.750 1
Au1 Au 0.000 0.000 0.000 1
Au2 Au 0.000 0.000 0.500 1
```

M_tot = 0.79 μB per atom
Space-group type = No. 193
Formation energy = -67.07 kJ per mole of atoms